This record from the Alexandria database describes an optimized crystal structure of PrNd2PuBi4. The functional is PBE.

a = 4.605 Å, b = 7.967 Å, c = 7.968 Å
α = 109.45°, β = 90.00°, γ = 90.00°
Last column: magnetic moment on the atom in μB.
Fractional positions:
Bi 0.500 0.747 0.751  -0.05
Bi 0.500 0.253 0.249  -0.05
Bi 0.000 0.745 0.247  -0.09
Bi 0.000 0.255 0.753  -0.09
Pr 0.000 0.000 0.000  0.00
Nd 0.500 0.000 0.500  -0.03
Nd 0.000 0.500 0.500  0.00
Pu 0.500 0.500 0.000  5.29

Calculated values
- volume (Å³/f.u.) = 275.66
- DOS at the Fermi energy (states/eV per cell) = 18.37
- raw total energy (eV/atom) = -6.311
- energy of formation from the pure elements (eV/atom) = -0.789
- total moment (μB/f.u.) = 5.109